(1)
Density functional theory data (GGA-PBE) for a relaxed La10Pr4Sm crystal.

Summary:
DFT formation energy (kJ/mol of formula units): 349
Space-group type: I4/m (87)
Final energy (eV/atom): -4.633

Lattice parameters (Å, degrees): 8.896 8.896 8.896 110.87 110.87 106.70
Positions (direct):
1 La 0.042 0.957 0.315
2 La 0.043 0.358 0.084
3 La 0.250 0.750 0.500
4 La 0.274 0.958 0.916
5 La 0.358 0.274 0.315
6 La 0.642 0.726 0.685
7 La 0.726 0.042 0.084
8 La 0.750 0.250 0.500
9 La 0.957 0.642 0.916
10 La 0.958 0.043 0.685
11 Pr 0.175 0.450 0.625
12 Pr 0.450 0.825 0.274
13 Pr 0.550 0.175 0.726
14 Pr 0.825 0.550 0.375
15 Sm 0.500 0.500 0.000



(2)
Density functional theory data (GGA-PBE) for a relaxed DyPa5P6 crystal.

Summary:
DFT formation energy (kJ/mol of formula units): -1587
Space-group type: C2/m (12)
Final energy (eV/atom): -8.415

Lattice parameters (Å, degrees): 6.879 6.879 6.875 99.61 99.61 120.00
Positions (direct):
1 Dy 0.000 0.000 0.000
2 Pa 0.165 0.835 0.500
3 Pa 0.333 0.667 0.000
4 Pa 0.500 0.500 0.500
5 Pa 0.667 0.333 0.000
6 Pa 0.835 0.165 0.500
7 P 0.083 0.417 0.250
8 P 0.251 0.251 0.751
9 P 0.417 0.083 0.250
10 P 0.583 0.917 0.750
11 P 0.749 0.749 0.249
12 P 0.917 0.583 0.750



Which value of final energy does entry 2 give?
-8.415 eV/atom



Which value of DFT formation energy does entry 2 give?
-1587 kJ/mol of formula units